Record 1
Below is a relaxed K2AgPdBr6 crystal, with properties calculated at the GGA-PBE level.

Values from the calculation:
Crystal system: trigonal
Space group: P-31c, No. 163
Total DFT energy (no corrections), Ha/atom: -0.1030
Calculated volume, Å³/atom: 32.7

Cell lengths 7.2890, 7.2890, 14.1990 Å; angles 90.00, 90.00, 120.00 degrees
Fractional positions:
Br  0.9720  0.2779  0.8554
Br  0.0280  0.7221  0.1446
K  0.6667  0.3333  0.4766
Ag  0.6667  0.3333  0.7500
K  0.3333  0.6667  0.5234
Pd  0.0000  0.0000  0.2500
Br  0.6940  0.7221  0.3554
Br  0.0280  0.3060  0.3554
Pd  0.0000  0.0000  0.7500
Br  0.3060  0.0280  0.8554
Br  0.2779  0.3060  0.1446
Br  0.9720  0.6940  0.6446
Br  0.2779  0.9720  0.3554
Br  0.3060  0.2779  0.6446
Br  0.7221  0.6940  0.8554
K  0.6667  0.3333  0.0234
K  0.3333  0.6667  0.9766
Ag  0.3333  0.6667  0.2500
Br  0.6940  0.9720  0.1446
Br  0.7221  0.0280  0.6446



Record 2
Below is a relaxed Dy2HfIn3Ir2 crystal, with properties calculated at the GGA-PBE level.

Values from the calculation:
Crystal system: orthorhombic
Space group: Amm2, No. 38
Total DFT energy (no corrections), Ha/atom: -0.2299
Calculated volume, Å³/atom: 22.0

Cell lengths 3.4911, 7.6285, 7.6285 Å; angles 119.89, 90.00, 90.00 degrees
Fractional positions:
In  0.5000  0.0053  0.2342
Dy  0.0000  0.9997  0.5802
Hf  0.0000  0.4283  0.4283
Dy  0.0000  0.5802  0.9997
In  0.5000  0.7630  0.7630
Ir  0.5000  0.6511  0.3382
In  0.5000  0.2342  0.0053
Ir  0.5000  0.3382  0.6511



Question: calculated volume of number 1 (K2AgPdBr6)?
Answer: 32.7 Å³/atom



Question: The highest total DFT energy (no corrections) belongs to which entry?
Answer: K2AgPdBr6



Question: Among the records above, which one has the highest calculated volume?
Answer: K2AgPdBr6



Question: What is the total DFT energy (no corrections) in the first record?
Answer: -0.1030 Ha/atom